Entry 1:
The following is a DFT calculation (PBE-GGA) of crystalline ZrCuRu2Pb at its relaxed geometry.

Unit cell a=4.727 b=4.727 c=5.432 alpha=90.00 beta=90.00 gamma=90.00
Fractional coordinates of all 5 atoms:
Zr  0.000  0.000  0.000
Cu  0.500  0.500  0.500
Ru  0.000  0.500  0.000
Ru  0.500  0.000  0.000
Pb  0.000  0.000  0.500

Values from the calculation:
energy of formation: 1528 meV per atom
M_tot: 1.069 μB/f.u.

***

Entry 2:
The following is a DFT calculation (PBE-GGA) of crystalline Hf2Zn2Sb at its relaxed geometry.

Unit cell a=6.888 b=6.888 c=4.010 alpha=90.00 beta=90.00 gamma=90.00
Fractional coordinates of all 10 atoms:
Hf  0.173  0.327  0.000
Hf  0.327  0.827  0.000
Hf  0.673  0.173  0.000
Hf  0.827  0.673  0.000
Zn  0.123  0.623  0.500
Zn  0.377  0.123  0.500
Zn  0.623  0.877  0.500
Zn  0.877  0.377  0.500
Sb  0.000  0.000  0.500
Sb  0.500  0.500  0.500

Values from the calculation:
E above lowest polymorph: 0.0 kJ/mol of atoms
M_tot: 0.000 μB/f.u.
uncorrected formation energy: -0.8 eV per formula unit

***

Entry 3:
The following is a DFT calculation (PBE-GGA) of crystalline MgCdOs at its relaxed geometry.

Unit cell a=4.643 b=4.643 c=2.742 alpha=90.00 beta=90.00 gamma=120.00
Fractional coordinates of all 3 atoms:
Mg  0.000  0.000  0.000
Cd  0.333  0.667  0.724
Os  0.667  0.333  0.350

Values from the calculation:
E above lowest polymorph: 0.5 kJ/mol of atoms
energy of formation: 350 meV per atom
M_tot: 0.000 μB/f.u.

***

no.,electronic total energy (eV per atom)
1,-5.4532
2,-5.4695
3,-4.2298